Density functional theory data (GGA-PBE) for a geometry-optimized Li2TcH6Pd structure.

## Properties
Magnetic moment (μB per formula unit): 0.01

Lattice parameters (Å, degrees): 4.7268 4.7268 4.7268 60.06 60.06 60.06
Fractional positions:
Li 0.0000 0.0000 0.0000
Li 0.4876 0.4876 0.4876
Tc 0.2406 0.2406 0.2406
H 0.0706 0.5612 0.4253
H 0.1503 0.5934 0.8882
H 0.4253 0.0706 0.5612
H 0.5612 0.4253 0.0706
H 0.5934 0.8882 0.1503
H 0.8882 0.1503 0.5934
Pd 0.7612 0.7612 0.7612

---

Density functional theory data (GGA-PBE) for a geometry-optimized LiTlHPd2 structure.

Lattice parameters (Å, degrees): 4.0498 4.0498 4.1442 90.00 90.00 90.00
Fractional positions:
Li 0.0000 0.0000 0.0000
Tl 0.5000 0.5000 0.0000
H 0.0000 0.0000 0.5000
Pd 0.0000 0.5000 0.5000
Pd 0.5000 0.0000 0.5000

---

E, respectively: -4.05 -3.96 eV per atom.